Record 1
VASP calculation (PBE) on a relaxed Y3Al9Co2 crystal.

Calculated values
- Total moment: 0.00 μB/f.u.
- Total energy: -5.291 eV per atom

Lattice parameters (Å, degrees): 4.2675 9.6836 12.1518 90.00 90.00 90.00
Space group Immm (No. 71)
One atom of each set of equivalent atoms:
Y  0.0000  0.0000  0.0000 x2
Y  0.0000  0.0000  0.3011 x4
Al  0.0000  0.2836  0.1249 x8
Al  0.0000  0.3599  0.3511 x8
Al  0.0000  0.5000  0.0000 x2
Co  0.0000  0.1803  0.5000 x4

Record 2
VASP calculation (PBE) on a relaxed Tb4Dy3Ho4 crystal.

Calculated values
- Polymorph energy (0 for the lowest one): 0.000 eV per formula unit
- Total moment: 0.00 μB/f.u.

Lattice parameters (Å, degrees): 3.4876 5.5705 17.9957 81.11 84.45 90.00
Space group P-1 (No. 2)
One atom of each set of equivalent atoms:
Tb  0.0454  0.0451  0.4083 x2
Tb  0.1799  0.6801  0.1392 x2
Dy  0.3635  0.8635  0.7736 x2
Dy  0.5000  0.5000  0.5000 x1
Ho  0.0905  0.5897  0.3189 x2
Ho  0.2336  0.2332  0.0334 x2

What is the formula in the second record? Tb4Dy3Ho4

What is the formula in the first record? Y3Al9Co2